Entry 1:
Compound: BaSr2Ca
Source: Alexandria via LeMat-Bulk
Functional: PBE-GGA
Structure: optimized geometry

Cell lengths 7.323, 7.323, 7.323 Å; angles 131.54, 131.54, 70.96 degrees
Fractional positions:
Sr  0.000  0.000  0.000
Sr  0.250  0.750  0.500
Ba  0.500  0.500  0.000
Ca  0.750  0.250  0.500

Output
ΔE_f = 23 meV per atom
Polymorph energy (0 for the lowest one) = 7 meV/atom
Mass density = 2.717 g/cm3
Space group = I-4m2 (119)

Entry 2:
Compound: Ce3Mn2C4
Source: Alexandria via LeMat-Bulk
Functional: PBE-GGA
Structure: optimized geometry

Cell lengths 3.029, 5.136, 7.839 Å; angles 91.48, 90.00, 107.15 degrees
Fractional positions:
C  0.718  0.435  0.037
Ce  0.382  0.764  0.619
Ce  0.618  0.236  0.381
Ce  0.000  0.000  0.000
Mn  0.687  0.374  0.784
C  0.107  0.214  0.659
C  0.893  0.786  0.341
Mn  0.313  0.626  0.216
C  0.282  0.565  0.963

Output
ΔE_f = 69 meV per atom
Mass density = 8.243 g/cm3
Space group = C2/m (12)

Entry 3:
Compound: Sc5Cd2AgIr2
Source: Alexandria via LeMat-Bulk
Functional: PBE-GGA
Structure: optimized geometry

Cell lengths 3.499, 11.037, 11.037 Å; angles 90.00, 90.00, 90.00 degrees
Fractional positions:
Ir  0.000  0.869  0.369
Sc  0.500  0.578  0.702
Sc  0.500  0.078  0.798
Sc  0.500  0.298  0.578
Sc  0.500  0.422  0.298
Sc  0.500  0.702  0.422
Ir  0.000  0.369  0.131
Ir  0.000  0.631  0.869
Cd  0.000  0.671  0.171
Cd  0.000  0.829  0.671
Ag  0.000  0.500  0.500
Ir  0.000  0.131  0.631
Sc  0.500  0.922  0.202
Sc  0.500  0.798  0.922
Sc  0.500  0.000  0.500
Sc  0.500  0.202  0.078
Cd  0.000  0.329  0.829
Ag  0.000  0.000  0.000
Cd  0.000  0.171  0.329
Sc  0.500  0.500  0.000

Output
ΔE_f = -491 meV per atom
Mass density = 7.339 g/cm3
Space group = P4/mbm (127)

Entry 4:
Compound: LiThCdHg6
Source: Alexandria via LeMat-Bulk
Functional: PBE-GGA
Structure: optimized geometry

Cell lengths 7.685, 9.845, 8.738 Å; angles 124.29, 116.09, 90.00 degrees
Fractional positions:
Hg  0.561  0.811  0.122
Hg  0.918  0.574  0.238
Li  0.500  0.000  0.000
Th  0.292  0.542  0.583
Hg  0.082  0.426  0.762
Hg  0.082  0.835  0.762
Hg  0.946  0.196  0.891
Li  0.500  0.500  0.000
Th  0.708  0.458  0.417
Cd  0.500  0.000  0.500
Hg  0.680  0.835  0.762
Hg  0.918  0.165  0.238
Hg  0.680  0.426  0.762
Hg  0.320  0.165  0.238
Hg  0.054  0.804  0.109
Hg  0.320  0.574  0.238
Hg  0.439  0.189  0.878
Cd  0.000  0.000  0.500

Output
ΔE_f = -54 meV per atom
Mass density = 11.167 g/cm3
Space group = Imma (74)

Entry 5:
Compound: KSiSbTe2
Source: Alexandria via LeMat-Bulk
Functional: PBE-GGA
Structure: optimized geometry

Cell lengths 5.535, 5.535, 5.286 Å; angles 90.00, 90.00, 90.00 degrees
Fractional positions:
Sb  0.000  0.000  0.500
Te  0.000  0.500  0.000
Te  0.500  0.000  0.000
Si  0.000  0.000  0.000
K  0.500  0.500  0.500

Output
Formation energy without anion corrections = 0.19 eV per formula unit
Polymorph energy (0 for the lowest one) = 0 meV/atom
Mass density = 4.555 g/cm3
Space group = P4/mmm (123)

Entry 6:
Compound: FePb3W
Source: Alexandria via LeMat-Bulk
Functional: PBE-GGA
Structure: optimized geometry

Cell lengths 5.051, 5.051, 5.051 Å; angles 90.00, 90.00, 90.00 degrees
Fractional positions:
Fe  0.000  0.000  0.000
Pb  0.000  0.000  0.500
W  0.500  0.500  0.500
Pb  0.000  0.500  0.000
Pb  0.500  0.000  0.000

Output
ΔE_f = 1352 meV per atom
Polymorph energy (0 for the lowest one) = 123 meV/atom
Mass density = 11.100 g/cm3
Space group = Pm-3m (221)

Entry 7:
Compound: Ho3S2
Source: Alexandria via LeMat-Bulk
Functional: PBE-GGA
Structure: optimized geometry

Cell lengths 6.646, 6.646, 7.364 Å; angles 63.18, 63.18, 60.00 degrees
Fractional positions:
Ho  0.920  0.250  0.250
Ho  0.750  0.420  0.750
S  0.663  0.663  0.011
Ho  0.080  0.750  0.750
Ho  0.250  0.580  0.250
S  0.837  0.837  0.489
S  0.337  0.337  0.989
S  0.163  0.163  0.511
Ho  0.580  0.920  0.250
Ho  0.420  0.080  0.750

Output
Formation energy without anion corrections = -7.51 eV per formula unit
Polymorph energy (0 for the lowest one) = 63 meV/atom
Mass density = 7.722 g/cm3
Space group = R-3c (167)

Entry 8:
Compound: TaZnHg2
Source: Alexandria via LeMat-Bulk
Functional: PBE-GGA
Structure: optimized geometry

Cell lengths 4.441, 2.996, 5.916 Å; angles 75.91, 90.00, 90.00 degrees
Fractional positions:
Hg  0.000  0.900  0.997
Ta  0.500  0.250  0.250
Hg  0.000  0.600  0.503
Zn  0.500  0.750  0.750

Output
ΔE_f = 401 meV per atom
Mass density = 14.083 g/cm3
Space group = P2/m (10)

Entry 9:
Compound: ZrTc5
Source: Alexandria via LeMat-Bulk
Functional: PBE-GGA
Structure: optimized geometry

Cell lengths 5.162, 5.162, 5.162 Å; angles 60.00, 60.00, 60.00 degrees
Fractional positions:
Tc  0.626  0.121  0.626
Tc  0.626  0.626  0.121
Tc  0.121  0.626  0.626
Tc  0.250  0.250  0.250
Tc  0.626  0.626  0.626
Zr  0.000  0.000  0.000

Output
ΔE_f = 28 meV per atom
Polymorph energy (0 for the lowest one) = 0 meV/atom
Mass density = 9.921 g/cm3
Space group = F-43m (216)

Entry 10:
Compound: TeOsRu4
Source: Alexandria via LeMat-Bulk
Functional: PBE-GGA
Structure: optimized geometry

Cell lengths 5.147, 5.147, 5.147 Å; angles 60.00, 60.00, 60.00 degrees
Fractional positions:
Os  0.000  0.000  0.000
Te  0.750  0.750  0.750
Ru  0.878  0.374  0.374
Ru  0.374  0.374  0.878
Ru  0.374  0.374  0.374
Ru  0.374  0.878  0.374

Output
Formation energy without anion corrections = 5.44 eV per formula unit
Mass density = 12.435 g/cm3
Space group = F-43m (216)

Entry 11:
Compound: Ac2SiHg
Source: Alexandria via LeMat-Bulk
Functional: PBE-GGA
Structure: optimized geometry

Cell lengths 5.585, 5.585, 5.585 Å; angles 60.00, 60.00, 60.00 degrees
Fractional positions:
Ac  0.750  0.750  0.750
Hg  0.500  0.500  0.500
Ac  0.250  0.250  0.250
Si  0.000  0.000  0.000

Output
Formation energy without anion corrections = -1.58 eV per formula unit
Polymorph energy (0 for the lowest one) = 74 meV/atom
Mass density = 9.202 g/cm3
Space group = Fm-3m (225)

Entry 12:
Compound: KCuHg2
Source: Alexandria via LeMat-Bulk
Functional: PBE-GGA
Structure: optimized geometry

Cell lengths 3.631, 3.825, 8.083 Å; angles 90.00, 90.00, 90.00 degrees
Fractional positions:
Cu  0.500  0.500  0.871
K  0.000  0.000  0.506
Hg  0.500  0.500  0.210
Hg  0.000  0.000  0.913

Output
ΔE_f = 44 meV per atom
Polymorph energy (0 for the lowest one) = 123 meV/atom
Mass density = 7.452 g/cm3
Space group = Pmm2 (25)

Entry 13:
Compound: K2PuGaI6
Source: Alexandria via LeMat-Bulk
Functional: PBE-GGA
Structure: optimized geometry

Cell lengths 8.226, 8.920, 12.053 Å; angles 90.00, 89.36, 90.00 degrees
Fractional positions:
K  0.463  0.408  0.248
I  0.193  0.186  0.439
Ga  0.000  0.500  0.500
I  0.123  0.464  0.757
I  0.377  0.964  0.743
I  0.307  0.686  0.061
I  0.174  0.200  0.059
K  0.963  0.092  0.748
I  0.623  0.036  0.257
Pu  0.000  0.500  0.000
Ga  0.500  0.000  0.000
K  0.037  0.908  0.252
I  0.326  0.700  0.441
I  0.877  0.536  0.243
I  0.807  0.814  0.561
I  0.826  0.800  0.941
I  0.674  0.300  0.559
I  0.693  0.314  0.939
K  0.537  0.592  0.752
Pu  0.500  0.000  0.500

Output
Formation energy without anion corrections = -10.91 eV per formula unit
Mass density = 4.331 g/cm3
Space group = P2_1/c (14)

Entry 14:
Compound: Na2BeO
Source: Alexandria via LeMat-Bulk
Functional: PBE-GGA
Structure: optimized geometry

Cell lengths 4.468, 4.468, 4.468 Å; angles 60.00, 60.00, 60.00 degrees
Fractional positions:
O  0.500  0.500  0.500
Na  0.250  0.250  0.250
Na  0.750  0.750  0.750
Be  0.000  0.000  0.000

Output
Formation energy without anion corrections = 0.68 eV per formula unit
Polymorph energy (0 for the lowest one) = 1024 meV/atom
Mass density = 1.869 g/cm3
Space group = Fm-3m (225)

Entry 15:
Compound: Fe2P
Source: Alexandria via LeMat-Bulk
Functional: PBE-GGA
Structure: optimized geometry

Cell lengths 4.519, 4.519, 5.644 Å; angles 84.58, 84.58, 34.05 degrees
Fractional positions:
Fe  0.966  0.966  0.963
Fe  0.337  0.337  0.344
Fe  0.607  0.607  0.279
P  0.985  0.985  0.566
Fe  0.698  0.698  0.687
P  0.240  0.240  0.994

Output
ΔE_f = -266 meV per atom
Mass density = 7.380 g/cm3
Space group = Cm (8)

Entry 16:
Compound: La2Cd3Sn3
Source: Alexandria via LeMat-Bulk
Functional: PBE-GGA
Structure: optimized geometry

Cell lengths 4.908, 4.760, 9.223 Å; angles 90.00, 90.00, 90.00 degrees
Fractional positions:
Cd  0.500  0.500  0.243
La  0.000  0.000  0.255
Sn  0.000  0.500  0.000
La  0.000  0.000  0.745
Sn  0.500  0.000  0.500
Cd  0.500  0.000  0.000
Cd  0.500  0.500  0.757
Sn  0.000  0.500  0.500

Output
ΔE_f = -502 meV per atom
Mass density = 7.486 g/cm3
Space group = Pmmm (47)

Entry 17:
Compound: HfNpBe
Source: Alexandria via LeMat-Bulk
Functional: PBE-GGA
Structure: optimized geometry

Cell lengths 3.443, 3.649, 8.039 Å; angles 90.00, 102.36, 90.00 degrees
Fractional positions:
Np  0.772  0.750  0.543
Np  0.228  0.250  0.457
Be  0.456  0.750  0.912
Hf  0.918  0.250  0.836
Be  0.544  0.250  0.088
Hf  0.082  0.750  0.164

Output
ΔE_f = 218 meV per atom
Mass density = 14.292 g/cm3
Space group = Cmcm (63)

Entry 18:
Compound: AgTeN2F
Source: Alexandria via LeMat-Bulk
Functional: PBE-GGA
Structure: optimized geometry

Cell lengths 4.192, 4.192, 4.066 Å; angles 90.00, 90.00, 90.00 degrees
Fractional positions:
Te  0.500  0.500  0.500
N  0.000  0.500  0.000
N  0.500  0.000  0.000
F  0.000  0.000  0.500
Ag  0.000  0.000  0.000

Output
Formation energy without anion corrections = 6.39 eV per formula unit
Polymorph energy (0 for the lowest one) = 505 meV/atom
Mass density = 6.566 g/cm3
Space group = P4/mmm (123)

Entry 19:
Compound: BaMg2In
Source: Alexandria via LeMat-Bulk
Functional: PBE-GGA
Structure: optimized geometry

Cell lengths 3.809, 3.809, 8.585 Å; angles 90.00, 90.00, 90.00 degrees
Fractional positions:
Mg  0.000  0.000  0.557
In  0.500  0.500  0.750
Ba  0.500  0.500  0.250
Mg  0.000  0.000  0.943

Output
ΔE_f = -73 meV per atom
Mass density = 4.009 g/cm3
Space group = P4/mmm (123)

Entry 20:
Compound: LuPaAl4
Source: Alexandria via LeMat-Bulk
Functional: PBE-GGA
Structure: optimized geometry

Cell lengths 5.514, 5.514, 5.514 Å; angles 60.00, 60.00, 60.00 degrees
Fractional positions:
Pa  0.250  0.250  0.250
Al  0.625  0.625  0.126
Al  0.126  0.625  0.625
Lu  0.000  0.000  0.000
Al  0.625  0.126  0.625
Al  0.625  0.625  0.625

Output
ΔE_f = -325 meV per atom
Mass density = 7.200 g/cm3
Space group = F-43m (216)